ScVSn2F: optimized geometry, GGA+U.

* final energy: -4.57 eV/atom

The structure in POSCAR format:
```
ScVSn2F
1.0
5.1215 0.0000 0.0000
0.0000 5.1215 0.0000
0.0000 0.0000 4.9879
Sc V Sn F
1 1 2 1
Direct
0.0000 0.0000 0.0000 Sc
0.0000 0.0000 0.5000 V
0.0000 0.5000 0.5000 Sn
0.5000 0.0000 0.5000 Sn
0.5000 0.5000 0.0000 F
```